5
Lattice="3.998 0.000 0.000 0.000 1.643 9.313 0.000 -1.643 9.313" Properties=species:S:1:pos:R:3 comment="PBE-GGA KRbAsNCl, optimized geometry" e_tot_ev_per_atom=-3.9651 sg="Amm2 (38)" raw_formation_energy_ev_per_fu=-2.939 polymorph_energy_ev_per_atom=0.033 pbc="T T T"
K 0.000 0.000 0.000
Rb 0.000 0.000 4.038
As 1.999 0.000 15.890
N 1.999 0.000 7.607
Cl 1.999 0.000 11.390

---

11
Lattice="9.841 -2.481 0.000 9.841 2.481 0.000 -1.326 0.000 7.137" Properties=species:S:1:pos:R:3 comment="PBE-GGA Nd8RuPb2, optimized geometry" e_tot_ev_per_atom=-5.2449 sg="C2/m (12)" e_form_ev_per_atom=-0.260 pbc="T T T"
Nd -0.197 0.000 1.984
Nd 3.153 0.000 5.971
Nd 6.431 0.000 3.413
Nd 8.017 0.000 0.031
Nd 10.339 0.000 7.106
Nd 11.925 0.000 3.724
Nd 15.203 0.000 1.166
Nd 18.553 0.000 5.153
Ru 9.178 0.000 3.568
Pb 3.212 0.000 1.938
Pb 15.144 0.000 5.199

---

8
Lattice="-3.550 3.550 3.046 3.550 -3.550 3.046 3.550 3.550 -3.046" Properties=species:S:1:pos:R:3 comment="PBE-GGA ZrSbRu2, optimized geometry" e_tot_ev_per_atom=-7.5433 sg="I-42d (122)" raw_formation_energy_ev_per_fu=1.049 pbc="T T T"
Zr 0.000 0.000 0.000
Zr 0.000 3.550 1.523
Sb 3.550 0.000 1.523
Sb 0.000 0.000 3.046
Ru 1.775 -1.728 2.285
Ru 1.822 1.775 0.762
Ru 1.775 5.278 -0.762
Ru 1.728 1.775 3.808

---

10
Lattice="9.091 -2.859 0.000 9.091 2.859 0.000 -0.410 0.000 6.211" Properties=species:S:1:pos:R:3 comment="PBE-GGA Sm3YMg, optimized geometry" e_tot_ev_per_atom=-4.3879 sg="C2/m (12)" e_form_ev_per_atom=0.055 pbc="T T T"
Sm 0.712 0.000 1.711
Sm 2.464 0.000 5.023
Sm 6.100 0.000 5.265
Sm 11.673 0.000 0.946
Sm 15.309 0.000 1.188
Sm 17.060 0.000 4.501
Y 4.370 0.000 2.043
Y 13.403 0.000 4.169
Mg 7.792 0.000 2.134
Mg 9.981 0.000 4.077

---

10
Lattice="8.480 -2.927 0.000 8.480 2.927 0.000 -1.440 0.000 6.483" Properties=species:S:1:pos:R:3 comment="PBE-GGA CaLa3Ru, optimized geometry" e_tot_ev_per_atom=-5.3049 sg="C2/m (12)" e_form_ev_per_atom=-0.093 polymorph_energy_ev_per_atom=0.078 pbc="T T T"
Ca 0.909 0.000 1.971
Ca 14.612 0.000 4.513
La 1.870 0.000 5.810
La 4.425 0.000 3.025
La 7.594 0.000 1.392
La 7.926 0.000 5.091
La 11.095 0.000 3.458
La 13.651 0.000 0.673
Ru 4.691 0.000 5.743
Ru 10.829 0.000 0.740

---

18
Lattice="9.325 -3.211 0.000 9.325 3.211 0.000 -4.513 0.000 10.339" Properties=species:S:1:pos:R:3 comment="PBE-GGA LaSm5Tm3, optimized geometry" e_tot_ev_per_atom=-4.3646 sg="C2/c (15)" e_form_ev_per_atom=0.295 polymorph_energy_ev_per_atom=0.019 pbc="T T T"
La 5.940 2.294 7.755
La 8.196 -2.294 2.585
Sm 5.553 2.073 1.388
Sm 2.606 1.319 8.201
Sm 10.840 2.073 3.782
Sm 8.196 0.683 2.585
Sm 9.274 1.319 7.308
Sm 4.863 -1.319 3.032
Sm 5.940 -0.683 7.755
Sm 3.297 -2.073 6.557
Sm 11.530 -1.319 2.138
Sm 8.583 -2.073 8.952
Tm 0.000 0.000 0.000
Tm -2.257 0.000 5.170
Tm 4.101 1.287 5.016
Tm 12.292 1.287 0.153
Tm 1.844 -1.287 10.186
Tm 10.036 -1.287 5.323